# GGA-PBE Sr2Cu3Si, optimized geometry
data_Sr2Cu3Si
_chemical_formula_sum 'Sr2 Cu3 Si1'
_symmetry_space_group_name_H-M 'P m m 2'
_symmetry_Int_Tables_number 25
_cell_length_a 4.2287
_cell_length_b 4.4998
_cell_length_c 7.2285
_cell_angle_alpha 90.00
_cell_angle_beta 90.00
_cell_angle_gamma 90.00
loop_
_symmetry_equiv_pos_as_xyz
'x,y,z'
'-x,-y,z'
'-x,y,z'
'x,-y,z'
loop_
_atom_site_label
_atom_site_type_symbol
_atom_site_fract_x
_atom_site_fract_y
_atom_site_fract_z
_atom_site_occupancy
Sr1 Sr 0.0000 0.0000 0.0000 1
Sr2 Sr 0.5000 0.0000 0.4959 1
Cu1 Cu 0.0000 0.5000 0.3191 1
Cu2 Cu 0.0000 0.5000 0.6639 1
Cu3 Cu 0.5000 0.5000 0.8446 1
Si1 Si 0.5000 0.5000 0.1719 1
# - Calculated volume: 137.5 Å³ per cell
# - Calculated total energy: -22.14 eV per cell
# - Spin magnetization: 0.0 μB/f.u.

***

# GGA-PBE Sr2CuSi2, optimized geometry
data_Sr2CuSi2
_chemical_formula_sum 'Sr4 Cu2 Si4'
_symmetry_space_group_name_H-M 'P 4/m b m'
_symmetry_Int_Tables_number 127
_symmetry_space_group_name_Hall '-P 4 2ab'
_cell_length_a 8.3837
_cell_length_b 8.3837
_cell_length_c 4.3392
_cell_angle_alpha 90.00
_cell_angle_beta 90.00
_cell_angle_gamma 90.00
loop_
_atom_site_label
_atom_site_type_symbol
_atom_site_fract_x
_atom_site_fract_y
_atom_site_fract_z
_atom_site_occupancy
Sr1 Sr 0.1898 0.3102 0.0000 1
Cu1 Cu 0.0000 0.0000 0.0000 1
Si1 Si 0.0937 0.5937 0.5000 1
# - Calculated volume: 305.0 Å³ per cell
# - Energy relative to the lowest polymorph listed for this composition: 313 meV per atom
# - Calculated total energy: -35.87 eV per cell
# - Spin magnetization: 0.0 μB/f.u.

***

# GGA-PBE SrCu3Si, optimized geometry
data_SrCu3Si
_chemical_formula_sum 'Sr4 Cu12 Si4'
_symmetry_space_group_name_H-M 'I m m a'
_symmetry_Int_Tables_number 74
_symmetry_space_group_name_Hall '-I 2b 2'
_cell_length_a 5.4839
_cell_length_b 9.0163
_cell_length_c 7.4895
_cell_angle_alpha 90.00
_cell_angle_beta 90.00
_cell_angle_gamma 90.00
loop_
_atom_site_label
_atom_site_type_symbol
_atom_site_fract_x
_atom_site_fract_y
_atom_site_fract_z
_atom_site_occupancy
Sr1 Sr 0.0000 0.2500 0.0734 1
Cu1 Cu 0.0000 0.2500 0.6144 1
Cu2 Cu 0.2500 0.0479 0.7500 1
Si1 Si 0.0000 0.0000 0.5000 1
# - Calculated volume: 370.3 Å³ per cell
# - Energy relative to the lowest polymorph listed for this composition: 0 meV per atom
# - Calculated total energy: -81.32 eV per cell
# - Spin magnetization: 0.0 μB/f.u.

***

# GGA-PBE Sr3CuSi, optimized geometry
data_Sr3CuSi
_chemical_formula_sum 'Sr3 Cu1 Si1'
_symmetry_space_group_name_H-M 'P m -3 m'
_symmetry_Int_Tables_number 221
_symmetry_space_group_name_Hall '-P 4 2 3'
_cell_length_a 6.0165
_cell_length_b 6.0165
_cell_length_c 6.0165
_cell_angle_alpha 90.00
_cell_angle_beta 90.00
_cell_angle_gamma 90.00
loop_
_atom_site_label
_atom_site_type_symbol
_atom_site_fract_x
_atom_site_fract_y
_atom_site_fract_z
_atom_site_occupancy
Sr1 Sr 0.0000 0.0000 0.5000 1
Cu1 Cu 0.5000 0.5000 0.5000 1
Si1 Si 0.0000 0.0000 0.0000 1
# - Calculated volume: 217.8 Å³ per cell
# - Energy relative to the lowest polymorph listed for this composition: 0 meV per atom
# - Calculated total energy: -13.82 eV per cell
# - Spin magnetization: 0.0 μB/f.u.

***

# GGA-PBE SrCu9Si4, optimized geometry
data_SrCu9Si4
_chemical_formula_sum 'Sr4 Cu36 Si16'
_symmetry_space_group_name_H-M 'I 4/m c m'
_symmetry_Int_Tables_number 140
_symmetry_space_group_name_Hall '-I 4 2c'
_cell_length_a 8.1754
_cell_length_b 8.1754
_cell_length_c 11.6334
_cell_angle_alpha 90.00
_cell_angle_beta 90.00
_cell_angle_gamma 90.00
loop_
_atom_site_label
_atom_site_type_symbol
_atom_site_fract_x
_atom_site_fract_y
_atom_site_fract_z
_atom_site_occupancy
Sr1 Sr 0.0000 0.0000 0.2500 1
Cu1 Cu 0.0000 0.5000 0.0000 1
Cu2 Cu 0.0640 0.2035 0.0000 1
Cu3 Cu 0.1238 0.3762 0.1828 1
Si1 Si 0.1760 0.3240 0.3842 1
# - Calculated volume: 777.5 Å³ per cell
# - Calculated total energy: -253.40 eV per cell
# - Spin magnetization: 0.0 μB/f.u.

***

# GGA-PBE SrCu2Si2, optimized geometry
data_SrCu2Si2
_chemical_formula_sum 'Sr2 Cu4 Si4'
_symmetry_space_group_name_H-M 'P 4/m b m'
_symmetry_Int_Tables_number 127
_symmetry_space_group_name_Hall '-P 4 2ab'
_cell_length_a 7.7603
_cell_length_b 7.7603
_cell_length_c 2.7928
_cell_angle_alpha 90.00
_cell_angle_beta 90.00
_cell_angle_gamma 90.00
loop_
_atom_site_label
_atom_site_type_symbol
_atom_site_fract_x
_atom_site_fract_y
_atom_site_fract_z
_atom_site_occupancy
Sr1 Sr 0.0000 0.0000 0.0000 1
Cu1 Cu 0.1433 0.3567 0.5000 1
Si1 Si 0.1360 0.6360 0.0000 1
# - Calculated volume: 168.2 Å³ per cell
# - Calculated total energy: -40.16 eV per cell
# - Spin magnetization: 0.0 μB/f.u.

***

# GGA-PBE Sr2Cu2Si, optimized geometry
data_Sr2Cu2Si
_chemical_formula_sum 'Sr4 Cu4 Si2'
_symmetry_space_group_name_H-M 'I 4/m m m'
_symmetry_Int_Tables_number 139
_symmetry_space_group_name_Hall '-I 4 2'
_cell_length_a 3.5846
_cell_length_b 3.5846
_cell_length_c 18.6956
_cell_angle_alpha 90.00
_cell_angle_beta 90.00
_cell_angle_gamma 90.00
loop_
_atom_site_label
_atom_site_type_symbol
_atom_site_fract_x
_atom_site_fract_y
_atom_site_fract_z
_atom_site_occupancy
Sr1 Sr 0.0000 0.0000 0.1071 1
Cu1 Cu 0.0000 0.5000 0.2500 1
Si1 Si 0.0000 0.0000 0.5000 1
# - Calculated volume: 240.2 Å³ per cell
# - Calculated total energy: -34.10 eV per cell
# - Spin magnetization: 0.0 μB/f.u.

***

# GGA-PBE SrCu2Si, optimized geometry
data_SrCu2Si
_chemical_formula_sum 'Sr2 Cu4 Si2'
_symmetry_space_group_name_H-M 'I -4 m 2'
_symmetry_Int_Tables_number 119
_symmetry_space_group_name_Hall 'I -4 -2'
_cell_length_a 4.7309
_cell_length_b 4.7309
_cell_length_c 6.7072
_cell_angle_alpha 90.00
_cell_angle_beta 90.00
_cell_angle_gamma 90.00
loop_
_atom_site_label
_atom_site_type_symbol
_atom_site_fract_x
_atom_site_fract_y
_atom_site_fract_z
_atom_site_occupancy
Sr1 Sr 0.0000 0.0000 0.0000 1
Cu1 Cu 0.0000 0.0000 0.5000 1
Cu2 Cu 0.0000 0.5000 0.7500 1
Si1 Si 0.0000 0.5000 0.2500 1
# - Calculated volume: 150.1 Å³ per cell
# - Calculated total energy: -28.66 eV per cell
# - Spin magnetization: 0.0 μB/f.u.

***

# GGA-PBE SrCu2Si2, optimized geometry
data_SrCu2Si2
_chemical_formula_sum 'Sr2 Cu4 Si4'
_symmetry_space_group_name_H-M 'I 4/m m m'
_symmetry_Int_Tables_number 139
_symmetry_space_group_name_Hall '-I 4 2'
_cell_length_a 4.2121
_cell_length_b 4.2121
_cell_length_c 9.8904
_cell_angle_alpha 90.00
_cell_angle_beta 90.00
_cell_angle_gamma 90.00
loop_
_atom_site_label
_atom_site_type_symbol
_atom_site_fract_x
_atom_site_fract_y
_atom_site_fract_z
_atom_site_occupancy
Sr1 Sr 0.0000 0.0000 0.0000 1
Cu1 Cu 0.0000 0.5000 0.2500 1
Si1 Si 0.0000 0.0000 0.3764 1
# - Calculated volume: 175.5 Å³ per cell
# - Calculated total energy: -44.99 eV per cell
# - Spin magnetization: 0.0 μB/f.u.

***

# GGA-PBE Sr2Cu2Si, optimized geometry
data_Sr2Cu2Si
_chemical_formula_sum 'Sr4 Cu4 Si2'
_symmetry_space_group_name_H-M 'P 4/m b m'
_symmetry_Int_Tables_number 127
_symmetry_space_group_name_Hall '-P 4 2ab'
_cell_length_a 7.0304
_cell_length_b 7.0304
_cell_length_c 4.6630
_cell_angle_alpha 90.00
_cell_angle_beta 90.00
_cell_angle_gamma 90.00
loop_
_atom_site_label
_atom_site_type_symbol
_atom_site_fract_x
_atom_site_fract_y
_atom_site_fract_z
_atom_site_occupancy
Sr1 Sr 0.1886 0.3114 0.0000 1
Cu1 Cu 0.1245 0.6245 0.5000 1
Si1 Si 0.0000 0.0000 0.5000 1
# - Calculated volume: 230.5 Å³ per cell
# - Calculated total energy: -34.30 eV per cell
# - Spin magnetization: 0.0 μB/f.u.